Record 1
# CaTlSCl2

A crystal of CaTlSCl2 relaxed with PBEsol (SCAN, Alexandria).

Results
* total energy: -22.47 eV per atom
* formation energy without anion corrections: -0.94 eV per atom
* V: 145.4 Å³ per cell
* spin magnetization: 0.000 Bohr magnetons per cell

Cell lengths 5.146, 5.315, 5.315 Å; angles 90.00, 90.00, 90.00 degrees
Element x y z (fractional)
1 S 0.500 0.000 0.000
2 Tl 0.000 0.000 0.000
3 Ca 0.500 0.500 0.500
4 Cl 0.000 0.000 0.500
5 Cl 0.000 0.500 0.000

Record 2
# Ir3WBr

A crystal of Ir3WBr relaxed with PBEsol (SCAN, Alexandria).

Results
* total energy: -58.45 eV per atom
* formation energy without anion corrections: 2.03 eV per atom
* V: 106.6 Å³ per cell
* spin magnetization: 0.000 Bohr magnetons per cell

Cell lengths 4.742, 4.742, 4.742 Å; angles 90.00, 90.00, 90.00 degrees
Element x y z (fractional)
1 Ir 0.000 0.500 0.000
2 Ir 0.000 0.000 0.500
3 Ir 0.500 0.000 0.000
4 Br 0.500 0.500 0.500
5 W 0.000 0.000 0.000

Record 3
# Sr4LaCo

A crystal of Sr4LaCo relaxed with PBEsol (SCAN, Alexandria).

Results
* total energy: -24.08 eV per atom
* calculated formation energy: 834 meV per atom
* V: 251.7 Å³ per cell
* spin magnetization: 3.578 Bohr magnetons per cell

Cell lengths 7.087, 7.087, 7.087 Å; angles 60.00, 60.00, 60.00 degrees
Site moments in Bohr magnetons follow the coordinates.
Element x y z (fractional)
1 Co 0.750 0.750 0.750  2.08
2 La 0.000 0.000 0.000  0.29
3 Sr 0.376 0.376 0.376  0.04
4 Sr 0.376 0.376 0.873  0.04
5 Sr 0.873 0.376 0.376  0.04
6 Sr 0.376 0.873 0.376  0.04

Record 4
# LaAlGe

A crystal of LaAlGe relaxed with PBEsol (SCAN, Alexandria).

Results
* total energy: -24.11 eV per atom
* calculated formation energy: -797 meV per atom
* V: 136.6 Å³ per cell
* spin magnetization: 0.000 Bohr magnetons per cell

Cell lengths 4.306, 4.306, 7.971 Å; angles 105.67, 105.67, 90.00 degrees
Element x y z (fractional)
1 Ge 0.916 0.416 0.833
2 Ge 0.666 0.666 0.333
3 Al 0.083 0.583 0.166
4 Al 0.833 0.833 0.666
5 La 0.499 0.999 0.999
6 La 0.249 0.249 0.499

Record 5
# La3Tl

A crystal of La3Tl relaxed with PBEsol (SCAN, Alexandria).

Results
* total energy: -50.80 eV per atom
* calculated formation energy: -386 meV per atom
* V: 122.1 Å³ per cell
* spin magnetization: 0.875 Bohr magnetons per cell

Cell lengths 4.961, 4.961, 4.961 Å; angles 90.00, 90.00, 90.00 degrees
Site moments in Bohr magnetons follow the coordinates.
Element x y z (fractional)
1 Tl 0.000 0.000 0.000  0.00
2 La 0.000 0.500 0.500  0.15
3 La 0.500 0.500 0.000  0.15
4 La 0.500 0.000 0.500  0.15

Record 6
# Mn2CuIr

A crystal of Mn2CuIr relaxed with PBEsol (SCAN, Alexandria).

Results
* total energy: -30.94 eV per atom
* calculated formation energy: -234 meV per atom
* V: 49.4 Å³ per cell
* spin magnetization: 0.360 Bohr magnetons per cell

Cell lengths 2.653, 4.402, 4.447 Å; angles 108.14, 90.00, 90.00 degrees
Site moments in Bohr magnetons follow the coordinates.
Element x y z (fractional)
1 Cu 0.500 0.000 0.500  0.05
2 Ir 0.000 0.500 0.500  0.17
3 Mn 0.000 0.000 0.000  3.60
4 Mn 0.500 0.500 0.000  -3.44